(1)
Computed, not measured: a geometry-optimized Ac6PRh2S3 structure at the PBE level of DFT.

```
Ac6PRh2S3
1.0
3.757 -6.509 0.000
3.757 6.509 0.000
-2.530 0.000 7.329
Ac P Rh S
6 1 2 3
Direct
0.081 0.422 0.763 Ac
0.238 0.238 0.238 Ac
0.422 0.081 0.763 Ac
0.578 0.919 0.237 Ac
0.762 0.762 0.762 Ac
0.919 0.578 0.237 Ac
0.500 0.500 0.000 P
0.168 0.832 0.000 Rh
0.832 0.168 0.000 Rh
0.000 0.000 0.500 S
0.338 0.662 0.500 S
0.662 0.338 0.500 S
```

Summary:
**Space group**: No. 12
**Total energy**: -6.19 eV per atom
**Density of states at the Fermi level**: 8.8 states/eV/cell
**Raw formation energy**: -137.72 kJ/mol of atoms

=====

(2)
Computed, not measured: a geometry-optimized Ac2SbP3Rh4 structure at the PBE level of DFT.

```
Ac2SbP3Rh4
1.0
4.341 0.000 0.000
0.000 4.341 0.000
0.000 0.000 10.181
Ac Sb P Rh
2 1 3 4
Direct
0.000 0.500 0.242 Ac
0.500 0.000 0.758 Ac
0.000 0.000 0.500 Sb
0.000 0.500 0.873 P
0.500 0.000 0.127 P
0.500 0.500 0.500 P
0.000 0.000 0.000 Rh
0.000 0.500 0.637 Rh
0.500 0.000 0.363 Rh
0.500 0.500 0.000 Rh
```

Summary:
**Space group**: No. 115
**Total energy**: -6.71 eV per atom
**Density of states at the Fermi level**: 8.2 states/eV/cell
**Raw formation energy**: -87.64 kJ/mol of atoms

=====

(3)
Computed, not measured: a geometry-optimized Ac2Sb3PRh4 structure at the PBE level of DFT.

```
Ac2Sb3PRh4
1.0
4.581 0.000 0.000
0.000 4.581 0.000
0.000 0.000 10.371
Ac Sb P Rh
2 3 1 4
Direct
0.000 0.500 0.241 Ac
0.500 0.000 0.759 Ac
0.000 0.000 0.000 Sb
0.000 0.500 0.635 Sb
0.500 0.000 0.365 Sb
0.500 0.500 0.000 P
0.000 0.000 0.500 Rh
0.000 0.500 0.892 Rh
0.500 0.000 0.108 Rh
0.500 0.500 0.500 Rh
```

Summary:
**Space group**: No. 115
**Total energy**: -6.39 eV per atom
**Density of states at the Fermi level**: 8.2 states/eV/cell
**Raw formation energy**: -82.46 kJ/mol of atoms

=====

(4)
Computed, not measured: a geometry-optimized Ac3SbP2Rh9 structure at the PBE level of DFT.

```
Ac3SbP2Rh9
1.0
6.199 0.000 0.000
-3.100 5.369 0.000
0.000 0.000 9.224
Ac Sb P Rh
3 1 2 9
Direct
0.000 0.000 0.000 Ac
0.333 0.667 0.667 Ac
0.667 0.333 0.333 Ac
0.000 0.000 0.500 Sb
0.333 0.667 0.157 P
0.667 0.333 0.843 P
0.000 0.500 0.000 Rh
0.155 0.310 0.279 Rh
0.155 0.845 0.279 Rh
0.310 0.155 0.721 Rh
0.500 0.000 0.000 Rh
0.500 0.500 0.000 Rh
0.690 0.845 0.279 Rh
0.845 0.155 0.721 Rh
0.845 0.690 0.721 Rh
```

Summary:
**Space group**: No. 164
**Total energy**: -6.91 eV per atom
**Density of states at the Fermi level**: 8.9 states/eV/cell
**Raw formation energy**: -65.78 kJ/mol of atoms

=====

(5)
Computed, not measured: a geometry-optimized Ac2SbPRh6 structure at the PBE level of DFT.

```
Ac2SbPRh6
1.0
5.385 -3.116 0.000
5.385 3.116 0.000
-3.571 0.000 6.254
Ac Sb P Rh
2 1 1 6
Direct
0.239 0.239 0.216 Ac
0.761 0.761 0.784 Ac
0.500 0.500 0.000 Sb
0.000 0.000 0.500 P
0.240 0.240 0.671 Rh
0.240 0.689 0.670 Rh
0.311 0.760 0.330 Rh
0.689 0.240 0.670 Rh
0.760 0.311 0.330 Rh
0.760 0.760 0.329 Rh
```

Summary:
**Space group**: No. 12
**Total energy**: -6.88 eV per atom
**Density of states at the Fermi level**: 4.0 states/eV/cell
**Raw formation energy**: -67.15 kJ/mol of atoms

=====

(6)
Computed, not measured: a geometry-optimized AcSbP2Rh5 structure at the PBE level of DFT.

```
AcSbP2Rh5
1.0
4.107 0.000 0.000
0.000 4.107 0.000
0.000 0.000 10.159
Ac Sb P Rh
1 1 2 5
Direct
0.000 0.000 0.000 Ac
0.000 0.000 0.500 Sb
0.500 0.500 0.226 P
0.500 0.500 0.774 P
0.000 0.500 0.330 Rh
0.000 0.500 0.670 Rh
0.500 0.000 0.330 Rh
0.500 0.000 0.670 Rh
0.500 0.500 0.000 Rh
```

Summary:
**Space group**: No. 123
**Total energy**: -6.97 eV per atom
**Density of states at the Fermi level**: 4.0 states/eV/cell
**Raw formation energy**: -74.12 kJ/mol of atoms

=====

(7)
Computed, not measured: a geometry-optimized Ac2ScP3Rh4 structure at the PBE level of DFT.

```
Ac2ScP3Rh4
1.0
4.145 0.000 0.000
0.000 4.145 0.000
0.000 0.000 10.887
Ac Sc P Rh
2 1 3 4
Direct
0.000 0.500 0.238 Ac
0.500 0.000 0.762 Ac
0.000 0.000 0.500 Sc
0.000 0.500 0.874 P
0.500 0.000 0.126 P
0.500 0.500 0.500 P
0.000 0.000 0.000 Rh
0.000 0.500 0.648 Rh
0.500 0.000 0.352 Rh
0.500 0.500 0.000 Rh
```

Summary:
**Space group**: No. 115
**Energy of formation from the pure elements**: -1.03 eV per atom
**Total energy**: -7.05 eV per atom
**Density of states at the Fermi level**: 7.0 states/eV/cell

=====

(8)
Computed, not measured: a geometry-optimized Ac8P3RhSe4 structure at the PBE level of DFT.

```
Ac8P3RhSe4
1.0
4.438 2.562 7.349
-4.438 2.562 7.349
0.000 -5.124 7.349
Ac P Rh Se
8 3 1 4
Direct
0.245 0.245 0.245 Ac
0.247 0.742 0.742 Ac
0.258 0.258 0.753 Ac
0.258 0.753 0.258 Ac
0.742 0.247 0.742 Ac
0.742 0.742 0.247 Ac
0.753 0.258 0.258 Ac
0.755 0.755 0.755 Ac
0.000 0.000 0.500 P
0.000 0.500 0.000 P
0.500 0.000 0.000 P
0.500 0.500 0.500 Rh
0.000 0.000 0.000 Se
0.000 0.500 0.500 Se
0.500 0.000 0.500 Se
0.500 0.500 0.000 Se
```

Summary:
**Space group**: No. 166
**Total energy**: -6.00 eV per atom
**Density of states at the Fermi level**: 9.1 states/eV/cell
**Raw formation energy**: -154.85 kJ/mol of atoms